Record 1
The following is a DFT calculation (PBE) of crystalline TlFeW2 at its relaxed geometry.

The structure belongs to space group Immm (No. 71); the cell edges are 3.245, 4.408 and 9.195 Å and the angles 90.00°, 90.00° and 90.00°. The distinct sites, in fractional coordinates, are Tl at (0.000, 0.000, 0.000), Fe at (0.000, 0.000, 0.500) and W at (0.000, 0.500, 0.235).

For the formation energy from the elements, the calculation gives 252 kJ/mol of formula units.

---

Record 2
The following is a DFT calculation (PBE) of crystalline Tl2FeW2 at its relaxed geometry.

The structure belongs to space group P4/mbm (No. 127); the cell edges are 8.049, 8.049 and 3.058 Å and the angles 90.00°, 90.00° and 90.00°. The distinct sites, in fractional coordinates, are Tl at (0.187, 0.313, 0.000), Fe at (0.000, 0.000, 0.000) and W at (0.108, 0.608, 0.500).

For the formation energy from the elements, the calculation gives 729 kJ/mol of formula units.

---

Record 3
The following is a DFT calculation (PBE) of crystalline Tl2FeW at its relaxed geometry.

The structure belongs to space group P2/m (No. 10); the cell edges are 5.051, 3.000 and 5.443 Å and the angles 90.00°, 112.61° and 90.00°. The distinct sites, in fractional coordinates, are Tl at (0.000, 0.000, 0.000), Tl at (0.000, 0.500, 0.500), Fe at (0.500, 0.000, 0.500) and W at (0.500, 0.500, 0.000).

For the formation energy from the elements, the calculation gives 363 kJ/mol of formula units.

---

Record 4
The following is a DFT calculation (PBE) of crystalline Y6TlFe2 at its relaxed geometry.

The structure belongs to space group Immm (No. 71); the cell edges are 9.551, 9.732 and 10.075 Å and the angles 90.00°, 90.00° and 90.00°. The distinct sites, in fractional coordinates, are Y at (0.000, 0.215, 0.229), Y at (0.202, 0.500, 0.188), Y at (0.210, 0.311, 0.500), Tl at (0.000, 0.000, 0.000), Tl at (0.000, 0.000, 0.500), Fe at (0.000, 0.388, 0.000) and Fe at (0.000, 0.500, 0.392).

For the formation energy from the elements, the calculation gives -121 kJ/mol of formula units.

---

Record 5
The following is a DFT calculation (PBE) of crystalline Y3TlFe at its relaxed geometry.

The structure belongs to space group Pm-3m (No. 221); the cell edges are 5.167, 5.167 and 5.167 Å and the angles 90.00°, 90.00° and 90.00°. The distinct sites, in fractional coordinates, are Y at (0.000, 0.000, 0.500), Tl at (0.500, 0.500, 0.500) and Fe at (0.000, 0.000, 0.000).

For the formation energy from the elements, the calculation gives -4 kJ/mol of formula units.

---

Record 6
The following is a DFT calculation (PBE) of crystalline YTlFe2 at its relaxed geometry.

The structure belongs to space group Imm2 (No. 44); the cell edges are 3.455, 4.678 and 9.404 Å and the angles 90.00°, 90.00° and 90.00°. The distinct sites, in fractional coordinates, are Y at (0.000, 0.000, 0.000), Tl at (0.000, 0.500, 0.218), Fe at (0.000, 0.000, 0.458) and Fe at (0.000, 0.500, 0.782).

For the formation energy from the elements, the calculation gives 79 kJ/mol of formula units.

---

Record 7
The following is a DFT calculation (PBE) of crystalline YTl4Fe at its relaxed geometry.

The structure belongs to space group F-43m (No. 216); the cell edges are 8.708, 8.708 and 8.708 Å and the angles 90.00°, 90.00° and 90.00°. The distinct sites, in fractional coordinates, are Y at (0.000, 0.000, 0.000), Tl at (0.125, 0.125, 0.375) and Fe at (0.250, 0.250, 0.750).

For the formation energy from the elements, the calculation gives 299 kJ/mol of formula units.

---

Record 8
The following is a DFT calculation (PBE) of crystalline YTl2Fe at its relaxed geometry.

The structure belongs to space group C2/m (No. 12); the cell edges are 9.359, 3.985 and 5.440 Å and the angles 90.00°, 112.62° and 90.00°. The distinct sites, in fractional coordinates, are Y at (0.000, 0.000, 0.000), Tl at (0.225, 0.000, 0.702) and Fe at (0.000, 0.500, 0.500).

For the formation energy from the elements, the calculation gives 56 kJ/mol of formula units.